A relaxed Ag2P crystal. Source: Alexandria, functional PBEsol.

Results
**Fermi-level density of states**: 1.85 states/eV per cell
**Formation enthalpy at 0 K**: 0.2394 eV/atom

Unit cell a=2.8148 b=2.8148 c=12.2064 alpha=90.00 beta=90.00 gamma=90.00
With the nearest neighbours (Å) after each atom.
Sites, in units of the cell vectors:
1 Ag 0.0000 0.0000 0.1630  4 P 2.81, 8 Ag 2.81-2.91
2 Ag 0.0000 0.0000 0.8370  4 P 2.81, 8 Ag 2.81-2.91
3 Ag 0.5000 0.5000 0.3370  4 P 2.81, 8 Ag 2.81-2.91
4 Ag 0.5000 0.5000 0.6630  4 P 2.81, 8 Ag 2.81-2.91
5 P 0.0000 0.0000 0.5000  8 Ag 2.81, 4 P 2.81
6 P 0.5000 0.5000 0.0000  8 Ag 2.81, 4 P 2.81

=====

A relaxed FeH10N2OF5 crystal. Source: Alexandria, functional PBEsol.

Results
**Total energy**: -5.109 eV per atom
**Fermi-level density of states**: 32.97 states/eV per cell

Unit cell a=10.4971 b=8.0479 c=7.4466 alpha=90.00 beta=90.00 gamma=90.00
With the nearest neighbours (Å) after each atom.
Sites, in units of the cell vectors:
1 Fe 0.0000 0.1902 0.2500  1 O 1.85, 5 F 1.86-1.88
2 Fe 0.0000 0.8098 0.7500  1 O 1.85, 5 F 1.86-1.88
3 Fe 0.5000 0.3098 0.7500  1 O 1.85, 5 F 1.86-1.88
4 Fe 0.5000 0.6902 0.2500  1 O 1.85, 5 F 1.86-1.88
5 H 0.0243 0.1076 0.6384  1 O 1.03
6 H 0.0243 0.8924 0.1384  1 O 1.03
7 H 0.1171 0.4882 0.3837  1 N 1.05
8 H 0.1171 0.5118 0.8837  1 N 1.05
9 H 0.1759 0.3661 0.0322  1 N 1.05
10 H 0.1759 0.6339 0.5322  1 N 1.05
11 H 0.2428 0.0905 0.3434  1 N 1.04
12 H 0.2428 0.9095 0.8434  1 N 1.04
13 H 0.2500 0.0525 0.0112  1 N 1.04
14 H 0.2500 0.4475 0.5112  1 N 1.04
15 H 0.2500 0.5525 0.0112  1 N 1.04
16 H 0.2500 0.9475 0.5112  1 N 1.04
17 H 0.2572 0.4095 0.8434  1 N 1.04
18 H 0.2572 0.5905 0.3434  1 N 1.04
19 H 0.3241 0.1339 0.5322  1 N 1.05
20 H 0.3241 0.8661 0.0322  1 N 1.05
21 H 0.3829 0.0118 0.8837  1 N 1.05
22 H 0.3829 0.9882 0.3837  1 N 1.05
23 H 0.4757 0.3924 0.1384  1 O 1.03
24 H 0.4757 0.6076 0.6384  1 O 1.03
25 H 0.5243 0.3924 0.3616  1 O 1.03
26 H 0.5243 0.6076 0.8616  1 O 1.03
27 H 0.6171 0.0118 0.6163  1 N 1.05
28 H 0.6171 0.9882 0.1163  1 N 1.05
29 H 0.6759 0.1339 0.9678  1 N 1.05
30 H 0.6759 0.8661 0.4678  1 N 1.05
31 H 0.7428 0.4095 0.6566  1 N 1.04
32 H 0.7428 0.5905 0.1566  1 N 1.04
33 H 0.7500 0.0525 0.4888  1 N 1.04
34 H 0.7500 0.4475 0.9888  1 N 1.04
35 H 0.7500 0.5525 0.4888  1 N 1.04
36 H 0.7500 0.9475 0.9888  1 N 1.04
37 H 0.7572 0.0905 0.1566  1 N 1.04
38 H 0.7572 0.9095 0.6566  1 N 1.04
39 H 0.8241 0.3661 0.4678  1 N 1.05
40 H 0.8241 0.6339 0.9678  1 N 1.05
41 H 0.8829 0.4882 0.1163  1 N 1.05
42 H 0.8829 0.5118 0.6163  1 N 1.05
43 H 0.9757 0.1076 0.8616  1 O 1.03
44 H 0.9757 0.8924 0.3616  1 O 1.03
45 N 0.1993 0.4614 0.9424  4 H 1.04-1.05
46 N 0.1993 0.5386 0.4424  4 H 1.04-1.05
47 N 0.3007 0.0386 0.4424  4 H 1.04-1.05
48 N 0.3007 0.9614 0.9424  4 H 1.04-1.05
49 N 0.6993 0.0386 0.0576  4 H 1.04-1.05
50 N 0.6993 0.9614 0.5576  4 H 1.04-1.05
51 N 0.8007 0.4614 0.5576  4 H 1.04-1.05
52 N 0.8007 0.5386 0.0576  4 H 1.04-1.05
53 O 0.0000 0.0401 0.7500  2 H 1.03
54 O 0.0000 0.9599 0.2500  2 H 1.03
55 O 0.5000 0.4599 0.2500  2 H 1.03
56 O 0.5000 0.5401 0.7500  2 H 1.03
57 F 0.0000 0.4223 0.2500  2 H 1.67, 1 Fe 1.87
58 F 0.0000 0.5777 0.7500  2 H 1.67, 1 Fe 1.87
59 F 0.0636 0.1997 0.4824  1 H 1.44
60 F 0.0636 0.8003 0.9824  1 H 1.44
61 F 0.1673 0.1909 0.1604  3 H 1.71-1.80, 1 Fe 1.88
62 F 0.1673 0.8091 0.6604  3 H 1.71-1.80, 1 Fe 1.88
63 F 0.3327 0.3091 0.6604  3 H 1.71-1.80, 1 Fe 1.88
64 F 0.3327 0.6909 0.1604  3 H 1.71-1.80, 1 Fe 1.88
65 F 0.4364 0.3003 0.9824  1 H 1.44
66 F 0.4364 0.6997 0.4824  1 H 1.44
67 F 0.5000 0.0777 0.7500  2 H 1.67, 1 Fe 1.87
68 F 0.5000 0.9223 0.2500  2 H 1.67, 1 Fe 1.87
69 F 0.5636 0.3003 0.5176  1 H 1.44
70 F 0.5636 0.6997 0.0176  1 H 1.44
71 F 0.6673 0.3091 0.8396  3 H 1.71-1.80, 1 Fe 1.88
72 F 0.6673 0.6909 0.3396  3 H 1.71-1.80, 1 Fe 1.88
73 F 0.8327 0.1909 0.3396  3 H 1.71-1.80, 1 Fe 1.88
74 F 0.8327 0.8091 0.8396  3 H 1.71-1.80, 1 Fe 1.88
75 F 0.9364 0.1997 0.0176  1 H 1.44
76 F 0.9364 0.8003 0.5176  1 H 1.44

=====

A relaxed Rb3BO crystal. Source: Alexandria, functional PBEsol.

Results
**Fermi-level density of states**: 8.24 states/eV per cell
**ΔE_f (raw)**: 0.863 eV per atom

Unit cell a=5.8357 b=5.8357 c=5.8357 alpha=90.00 beta=90.00 gamma=90.00
With the nearest neighbours (Å) after each atom.
Sites, in units of the cell vectors:
1 Rb 0.0000 0.0000 0.5000  2 B 2.92
2 Rb 0.0000 0.5000 0.0000  2 B 2.92
3 Rb 0.5000 0.0000 0.0000  2 B 2.92
4 B 0.0000 0.0000 0.0000  6 Rb 2.92
5 O 0.5000 0.5000 0.5000  12 Rb 4.13

=====

A relaxed Ca2CrHg crystal. Source: Alexandria, functional PBEsol.

Results
**Fermi-level density of states**: 3.33 states/eV per cell
**Formation enthalpy at 0 K**: 0.1414 eV/atom

Unit cell a=3.7343 b=3.7343 c=7.3662 alpha=90.00 beta=90.00 gamma=90.00
With the nearest neighbours (Å) after each atom.
Sites, in units of the cell vectors:
1 Ca 0.0000 0.0000 0.2446  4 Hg 3.20, 4 Cr 3.24
2 Ca 0.0000 0.0000 0.7554  4 Hg 3.20, 4 Cr 3.24
3 Cr 0.5000 0.5000 0.5000  8 Ca 3.24
4 Hg 0.5000 0.5000 0.0000  8 Ca 3.20

=====

A relaxed Pt3Au crystal. Source: Alexandria, functional PBEsol.

Results
**Fermi-level density of states**: 7.07 states/eV per cell
**Formation enthalpy at 0 K**: 0.0454 eV/atom

Unit cell a=2.7920 b=2.7920 c=7.9285 alpha=90.00 beta=90.00 gamma=90.00
With the nearest neighbours (Å) after each atom.
Sites, in units of the cell vectors:
1 Pt 0.0000 0.0000 0.0000  12 Pt 2.75-2.79
2 Pt 0.5000 0.5000 0.2421  8 Pt 2.75-2.79, 4 Au 2.84
3 Pt 0.5000 0.5000 0.7579  8 Pt 2.75-2.79, 4 Au 2.84
4 Au 0.0000 0.0000 0.5000  4 Au 2.79, 8 Pt 2.84

=====

A relaxed LiY2O2 crystal. Source: Alexandria, functional PBEsol.

Results
**Fermi-level density of states**: 2.11 states/eV per cell
**ΔE_f (raw)**: -2.385 eV per atom

Unit cell a=3.9699 b=3.9699 c=11.7249 alpha=90.00 beta=90.00 gamma=90.00
With the nearest neighbours (Å) after each atom.
Sites, in units of the cell vectors:
1 Li 0.0000 0.0000 0.0000  8 Y 3.39, 8 O 3.54
2 Li 0.5000 0.5000 0.5000  8 Y 3.39, 8 O 3.54
3 Y 0.0000 0.0000 0.3374  4 O 2.23
4 Y 0.0000 0.0000 0.6626  4 O 2.23
5 Y 0.5000 0.5000 0.1626  4 O 2.23
6 Y 0.5000 0.5000 0.8374  4 O 2.23
7 O 0.0000 0.5000 0.2500  4 Y 2.23
8 O 0.0000 0.5000 0.7500  4 Y 2.23
9 O 0.5000 0.0000 0.2500  4 Y 2.23
10 O 0.5000 0.0000 0.7500  4 Y 2.23